(1)
# ErAgPd14

Crystalline ErAgPd14 at its relaxed geometry (PBE-GGA, the Alexandria database).

Unit cell a=5.6473 b=5.6473 c=8.0425 alpha=90.00 beta=90.00 gamma=90.00
With the nearest neighbours (Å) after each atom.
Fractional positions:
Er 0.0000 0.0000 0.0000  12 Pd 2.82-2.86
Ag 0.5000 0.5000 0.0000  12 Pd 2.82-2.86
Pd 0.0000 0.0000 0.5000  12 Pd 2.81-2.82
Pd 0.0000 0.5000 0.0000  2 Er 2.82, 2 Ag 2.82, 8 Pd 2.86
Pd 0.0000 0.5000 0.5000  12 Pd 2.81-2.82
Pd 0.2506 0.2506 0.2549  10 Pd 2.80-2.86, 1 Ag 2.86, 1 Er 2.86
Pd 0.2506 0.2506 0.7451  10 Pd 2.80-2.86, 1 Ag 2.86, 1 Er 2.86
Pd 0.2506 0.7494 0.2549  10 Pd 2.80-2.86, 1 Ag 2.86, 1 Er 2.86
Pd 0.2506 0.7494 0.7451  10 Pd 2.80-2.86, 1 Ag 2.86, 1 Er 2.86
Pd 0.5000 0.0000 0.0000  2 Er 2.82, 2 Ag 2.82, 8 Pd 2.86
Pd 0.5000 0.0000 0.5000  12 Pd 2.81-2.82
Pd 0.5000 0.5000 0.5000  12 Pd 2.80-2.82
Pd 0.7494 0.2506 0.2549  10 Pd 2.80-2.86, 1 Ag 2.86, 1 Er 2.86
Pd 0.7494 0.2506 0.7451  10 Pd 2.80-2.86, 1 Ag 2.86, 1 Er 2.86
Pd 0.7494 0.7494 0.2549  10 Pd 2.80-2.86, 1 Ag 2.86, 1 Er 2.86
Pd 0.7494 0.7494 0.7451  10 Pd 2.80-2.86, 1 Ag 2.86, 1 Er 2.86

Calculated values
- M_tot (μB per cell) = 0.0
- ΔE_f (eV per atom) = -0.2109

=====

(2)
# HfSn2Au2

Crystalline HfSn2Au2 at its relaxed geometry (PBE-GGA, the Alexandria database).

Unit cell a=7.5908 b=7.5908 c=3.8026 alpha=90.00 beta=90.00 gamma=90.00
With the nearest neighbours (Å) after each atom.
Fractional positions:
Hf 0.0000 0.0000 0.0000  4 Au 2.98
Hf 0.5000 0.5000 0.0000  4 Au 2.98
Sn 0.1773 0.3227 0.5000  6 Au 2.81-3.03
Sn 0.3227 0.8227 0.5000  6 Au 2.81-3.03
Sn 0.6773 0.1773 0.5000  6 Au 2.81-3.03
Sn 0.8227 0.6773 0.5000  6 Au 2.81-3.03
Au 0.1298 0.6298 0.0000  1 Au 2.79, 6 Sn 2.81-3.03, 2 Hf 2.98
Au 0.3702 0.1298 0.0000  1 Au 2.79, 6 Sn 2.81-3.03, 2 Hf 2.98
Au 0.6298 0.8702 0.0000  1 Au 2.79, 6 Sn 2.81-3.03, 2 Hf 2.98
Au 0.8702 0.3702 0.0000  1 Au 2.79, 6 Sn 2.81-3.03, 2 Hf 2.98

Calculated values
- M_tot (μB per cell) = 0.0
- ΔE_f (eV per atom) = -0.1171

=====

(3)
# Dy7HoSc4

Crystalline Dy7HoSc4 at its relaxed geometry (PBE-GGA, the Alexandria database).

Unit cell a=6.0246 b=6.9527 c=8.5393 alpha=90.06 beta=103.71 gamma=90.02
With the nearest neighbours (Å) after each atom.
Fractional positions:
Dy 0.0000 0.0000 0.0000  4 Sc 3.42-3.45, 6 Dy 3.44-3.49, 2 Ho 3.48
Dy 0.2230 0.4996 0.6636  5 Sc 3.37-3.51, 6 Dy 3.39-3.53, 1 Ho 3.45
Dy 0.2841 0.7556 0.3394  6 Sc 3.33-3.55, 5 Dy 3.39-3.53, 1 Ho 3.48
Dy 0.4970 0.2454 0.0052  3 Sc 3.41-3.47, 7 Dy 3.41-3.54, 2 Ho 3.47-3.52
Dy 0.5030 0.7546 0.9948  3 Sc 3.41-3.47, 7 Dy 3.41-3.54, 2 Ho 3.47-3.52
Dy 0.7159 0.2444 0.6606  6 Sc 3.33-3.55, 5 Dy 3.39-3.53, 1 Ho 3.48
Dy 0.7770 0.5004 0.3364  5 Sc 3.37-3.51, 6 Dy 3.39-3.53, 1 Ho 3.45
Ho 0.0000 0.5000 0.0000  10 Dy 3.45-3.52, 2 Sc 3.45
Sc 0.2163 0.0001 0.6602  4 Sc 3.30-3.50, 8 Dy 3.33-3.48
Sc 0.2750 0.2453 0.3374  3 Sc 3.33-3.50, 8 Dy 3.35-3.55, 1 Ho 3.45
Sc 0.7250 0.7547 0.6626  3 Sc 3.33-3.50, 8 Dy 3.35-3.55, 1 Ho 3.45
Sc 0.7837 0.9999 0.3398  4 Sc 3.30-3.50, 8 Dy 3.33-3.48

Calculated values
- M_tot (μB per cell) = 0.0
- ΔE_f (eV per atom) = 0.0198

=====

(4)
# BaAg2As

Crystalline BaAg2As at its relaxed geometry (PBE-GGA, the Alexandria database).

Unit cell a=5.6639 b=5.6639 c=5.6639 alpha=130.14 beta=130.14 gamma=73.18
With the nearest neighbours (Å) after each atom.
Fractional positions:
Ba 0.0000 0.0000 0.0000  8 Ag 3.30, 4 As 3.38
Ag 0.2500 0.7500 0.5000  4 Ba 3.30, 4 As 3.30, 4 Ag 3.38
Ag 0.7500 0.2500 0.5000  4 Ba 3.30, 4 As 3.30, 4 Ag 3.38
As 0.5000 0.5000 0.0000  8 Ag 3.30, 4 Ba 3.38

Calculated values
- M_tot (μB per cell) = 0.0
- ΔE_f (eV per atom) = -0.1324

=====

(5)
# Tm5PtRh4

Crystalline Tm5PtRh4 at its relaxed geometry (PBE-GGA, the Alexandria database).

Unit cell a=3.3620 b=3.3620 c=17.2508 alpha=90.00 beta=90.00 gamma=90.00
With the nearest neighbours (Å) after each atom.
Fractional positions:
Tm 0.0000 0.0000 0.0000  8 Rh 2.93
Tm 0.0000 0.0000 0.1988  8 Rh 2.93
Tm 0.0000 0.0000 0.3973  4 Rh 2.93, 4 Pt 2.96
Tm 0.0000 0.0000 0.6027  4 Rh 2.93, 4 Pt 2.96
Tm 0.0000 0.0000 0.8012  8 Rh 2.93
Pt 0.5000 0.5000 0.5000  8 Tm 2.96
Rh 0.5000 0.5000 0.0994  8 Tm 2.93
Rh 0.5000 0.5000 0.2985  8 Tm 2.93
Rh 0.5000 0.5000 0.7015  8 Tm 2.93
Rh 0.5000 0.5000 0.9006  8 Tm 2.93

Calculated values
- M_tot (μB per cell) = 0.0
- ΔE_f (eV per atom) = -1.0336

=====

(6)
# K6Au2ClO

Crystalline K6Au2ClO at its relaxed geometry (PBE-GGA, the Alexandria database).

Unit cell a=15.3519 b=15.3519 c=15.3519 alpha=29.09 beta=29.09 gamma=29.09
With the nearest neighbours (Å) after each atom.
Fractional positions:
K 0.1224 0.1224 0.6517  1 O 2.59
K 0.1224 0.6517 0.1224  1 O 2.59
K 0.2123 0.6943 0.6943  1 O 2.61
K 0.3057 0.3057 0.7877  1 O 2.61
K 0.3057 0.7877 0.3057  1 O 2.61
K 0.3483 0.8776 0.8776  1 O 2.59
K 0.6517 0.1224 0.1224  1 O 2.59
K 0.6943 0.2123 0.6943  1 O 2.61
K 0.6943 0.6943 0.2123  1 O 2.61
K 0.7877 0.3057 0.3057  1 O 2.61
K 0.8776 0.3483 0.8776  1 O 2.59
K 0.8776 0.8776 0.3483  1 O 2.59
Au 0.1936 0.1936 0.1936  9 K 3.53-3.87
Au 0.3591 0.3591 0.3591  9 K 3.55-3.88
Au 0.6409 0.6409 0.6409  9 K 3.55-3.88
Au 0.8064 0.8064 0.8064  9 K 3.53-3.87
Cl 0.0869 0.0869 0.0869  6 K 3.08-3.12
Cl 0.9131 0.9131 0.9131  6 K 3.08-3.12
O 0.0000 0.0000 0.0000  6 K 2.59
O 0.5000 0.5000 0.5000  6 K 2.61

Calculated values
- M_tot (μB per cell) = 0.0
- uncorrected formation energy (eV per atom) = -0.7893

=====

(7)
# U2ReSn

Crystalline U2ReSn at its relaxed geometry (PBE-GGA, the Alexandria database).

Unit cell a=3.7821 b=3.7821 c=6.0798 alpha=90.00 beta=90.00 gamma=90.00
With the nearest neighbours (Å) after each atom.
Fractional positions:
U 0.0000 0.0000 0.2046  1 U 2.49
U 0.0000 0.0000 0.7954  1 U 2.49
Re 0.5000 0.5000 0.0000  8 U 2.95, 2 Sn 3.04
Sn 0.5000 0.5000 0.5000  2 Re 3.04, 8 U 3.22

Calculated values
- M_tot (μB per cell) = 0.6
- ΔE_f (eV per atom) = 0.1235

=====

(8)
# NaPmDy2Se4

Crystalline NaPmDy2Se4 at its relaxed geometry (PBE-GGA, the Alexandria database).

Unit cell a=7.1792 b=4.1016 c=7.2025 alpha=90.00 beta=108.94 gamma=90.00
With the nearest neighbours (Å) after each atom.
Fractional positions:
Na 0.0000 0.0000 0.0000  6 Se 2.94-2.96
Pm 0.5000 0.5000 0.0000  6 Se 2.97
Dy 0.0000 0.5000 0.5000  6 Se 2.89
Dy 0.5000 0.0000 0.5000  6 Se 2.89-2.91
Se 0.2440 0.0000 0.7420  3 Dy 2.89-2.91, 1 Na 2.94, 2 Pm 2.97
Se 0.2526 0.5000 0.2595  3 Dy 2.89, 2 Na 2.96, 1 Pm 2.97
Se 0.7474 0.5000 0.7405  3 Dy 2.89, 2 Na 2.96, 1 Pm 2.97
Se 0.7560 0.0000 0.2580  3 Dy 2.89-2.91, 1 Na 2.94, 2 Pm 2.97

Calculated values
- M_tot (μB per cell) = 0.0
- uncorrected formation energy (eV per atom) = -1.7498

=====

no.,raw total energy (eV per atom)
1,-5.218
2,-5.020
3,-5.157
4,-3.201
5,-6.814
6,-2.784
7,-9.633
8,-5.401